No. 1
A relaxed ZrNbMoPt crystal, computed with PBE.

It has space group F-43m (No. 216), with a = 6.569 Å, b = 6.569 Å, c = 6.569 Å, α = 90.00°, β = 90.00° and γ = 90.00°. Symmetry generates all atoms from Zr at (0.000, 0.000, 0.000), Nb at (0.000, 0.000, 0.500), Mo at (0.250, 0.250, 0.250) and Pt at (0.250, 0.250, 0.750).

The calculated density comes out at 11.13 g/cm³. Its formation energy is -386 meV per atom. As for the volume: 17.7 Å³ per atom.

=====

No. 2
A relaxed PuNbMo crystal, computed with PBE.

It has space group I4mm (No. 107), with a = 3.270 Å, b = 3.270 Å, c = 10.717 Å, α = 90.00°, β = 90.00° and γ = 90.00°. Symmetry generates all atoms from Pu at (0.000, 0.000, 0.000), Nb at (0.000, 0.000, 0.314) and Mo at (0.000, 0.000, 0.671).

The calculated density comes out at 12.55 g/cm³. As for the excess energy over the best structure of this formula in the dataset: 0 meV per atom. Its formation energy is 199 meV per atom. As for the volume: 19.1 Å³ per atom.

=====

No. 3
A relaxed PuNbMo crystal, computed with PBE.

It has space group Pmmn (No. 59, origin choice 2), with a = 3.272 Å, b = 4.785 Å, c = 7.429 Å, α = 90.00°, β = 90.00° and γ = 90.00°. Symmetry generates all atoms from Pu at (0.250, 0.250, 0.149), Nb at (0.250, 0.750, 0.505) and Mo at (0.250, 0.250, 0.786).

The calculated density comes out at 12.36 g/cm³. As for the excess energy over the best structure of this formula in the dataset: 96 meV per atom. Its formation energy is 295 meV per atom. As for the volume: 19.4 Å³ per atom.

=====

No. 4
A relaxed PuNbTcMo crystal, computed with PBE.

It has space group F-43m (No. 216), with a = 6.560 Å, b = 6.560 Å, c = 6.560 Å, α = 90.00°, β = 90.00° and γ = 90.00°. Symmetry generates all atoms from Pu at (0.000, 0.000, 0.000), Nb at (0.000, 0.000, 0.500), Tc at (0.250, 0.250, 0.750) and Mo at (0.250, 0.250, 0.250).

The calculated density comes out at 12.49 g/cm³. Its formation energy is 38 meV per atom. As for the volume: 17.6 Å³ per atom.